No. 1
# PBE KMn2, optimized geometry
# Fermi-level density of states = 3.25 states/eV/f.u.
# Calculated volume = 431 Å³/cell
# Formation energy from the elements = 1.7972 eV per atom
data_KMn2
_space_group_name_H-M_alt 'P 1'
_space_group_IT_number 1
_space_group_name_Hall 'P 1'
_cell_length_a 7.552
_cell_length_b 7.552
_cell_length_c 7.552
_cell_angle_alpha 90.00
_cell_angle_beta 90.00
_cell_angle_gamma 90.00
loop_
_atom_site_label
_atom_site_type_symbol
_atom_site_fract_x
_atom_site_fract_y
_atom_site_fract_z
K1 K 0.000 0.000 0.000
K2 K 0.000 0.500 0.500
K3 K 0.500 0.000 0.500
K4 K 0.500 0.500 0.000
Mn1 Mn 0.099 0.599 0.901
Mn2 Mn 0.099 0.901 0.401
Mn3 Mn 0.401 0.099 0.901
Mn4 Mn 0.401 0.401 0.401
Mn5 Mn 0.599 0.599 0.599
Mn6 Mn 0.599 0.901 0.099
Mn7 Mn 0.901 0.099 0.599
Mn8 Mn 0.901 0.401 0.099

No. 2
# PBE K3Mn, optimized geometry
# Fermi-level density of states = 4.20 states/eV/f.u.
# Calculated volume = 203 Å³/cell
# Formation energy from the elements = 0.6661 eV per atom
data_K3Mn
_space_group_name_H-M_alt 'P 1'
_space_group_IT_number 1
_space_group_name_Hall 'P 1'
_cell_length_a 4.202
_cell_length_b 6.621
_cell_length_c 7.304
_cell_angle_alpha 90.00
_cell_angle_beta 90.00
_cell_angle_gamma 90.00
loop_
_atom_site_label
_atom_site_type_symbol
_atom_site_fract_x
_atom_site_fract_y
_atom_site_fract_z
K1 K 0.000 0.000 0.000
K2 K 0.000 0.500 0.336
K3 K 0.500 0.000 0.546
Mn1 Mn 0.500 0.500 0.840

No. 3
# PBE K5Mn4, optimized geometry
# Fermi-level density of states = 7.12 states/eV/f.u.
# Calculated volume = 326 Å³/cell
# Formation energy from the elements = 0.7911 eV per atom
data_K5Mn4
_space_group_name_H-M_alt 'P 1'
_space_group_IT_number 1
_space_group_name_Hall 'P 1'
_cell_length_a 8.773
_cell_length_b 8.773
_cell_length_c 8.773
_cell_angle_alpha 93.83
_cell_angle_beta 93.83
_cell_angle_gamma 150.06
loop_
_atom_site_label
_atom_site_type_symbol
_atom_site_fract_x
_atom_site_fract_y
_atom_site_fract_z
K1 K 0.000 0.000 0.000
K2 K 0.325 0.325 0.651
K3 K 0.325 0.675 0.000
K4 K 0.675 0.325 0.000
K5 K 0.675 0.675 0.349
Mn1 Mn 0.000 0.393 0.393
Mn2 Mn 0.000 0.607 0.607
Mn3 Mn 0.393 0.000 0.393
Mn4 Mn 0.607 0.000 0.607

No. 4
# PBE K3Mn, optimized geometry
# Fermi-level density of states = 5.21 states/eV/f.u.
# Calculated volume = 215 Å³/cell
# Formation energy from the elements = 0.6642 eV per atom
data_K3Mn
_space_group_name_H-M_alt 'P 1'
_space_group_IT_number 1
_space_group_name_Hall 'P 1'
_cell_length_a 4.266
_cell_length_b 4.266
_cell_length_c 13.618
_cell_angle_alpha 90.00
_cell_angle_beta 90.00
_cell_angle_gamma 120.00
loop_
_atom_site_label
_atom_site_type_symbol
_atom_site_fract_x
_atom_site_fract_y
_atom_site_fract_z
K1 K 0.000 0.000 0.000
K2 K 0.333 0.667 0.296
K3 K 0.333 0.667 0.704
Mn1 Mn 0.000 0.000 0.500

No. 5
# PBE KMn2, optimized geometry
# Fermi-level density of states = 2.78 states/eV/f.u.
# Calculated volume = 159 Å³/cell
# Formation energy from the elements = 1.4645 eV per atom
data_KMn2
_space_group_name_H-M_alt 'P 1'
_space_group_IT_number 1
_space_group_name_Hall 'P 1'
_cell_length_a 6.095
_cell_length_b 6.095
_cell_length_c 6.095
_cell_angle_alpha 100.78
_cell_angle_beta 100.78
_cell_angle_gamma 128.74
loop_
_atom_site_label
_atom_site_type_symbol
_atom_site_fract_x
_atom_site_fract_y
_atom_site_fract_z
K1 K 0.250 0.250 0.000
K2 K 0.750 0.750 0.000
Mn1 Mn 0.114 0.614 0.728
Mn2 Mn 0.386 0.114 0.500
Mn3 Mn 0.614 0.886 0.500
Mn4 Mn 0.886 0.386 0.272

No. 6
# PBE K3Mn, optimized geometry
# Fermi-level density of states = 4.98 states/eV/f.u.
# Calculated volume = 409 Å³/cell
# Formation energy from the elements = 0.6483 eV per atom
data_K3Mn
_space_group_name_H-M_alt 'P 1'
_space_group_IT_number 1
_space_group_name_Hall 'P 1'
_cell_length_a 8.411
_cell_length_b 8.411
_cell_length_c 8.411
_cell_angle_alpha 121.78
_cell_angle_beta 121.78
_cell_angle_gamma 86.94
loop_
_atom_site_label
_atom_site_type_symbol
_atom_site_fract_x
_atom_site_fract_y
_atom_site_fract_z
K1 K 0.207 0.707 0.914
K2 K 0.250 0.250 0.000
K3 K 0.293 0.207 0.500
K4 K 0.707 0.793 0.500
K5 K 0.750 0.750 0.000
K6 K 0.793 0.293 0.086
Mn1 Mn 0.250 0.750 0.500
Mn2 Mn 0.750 0.250 0.500

No. 7
# PBE KMn2, optimized geometry
# Fermi-level density of states = 3.05 states/eV/f.u.
# Calculated volume = 149 Å³/cell
# Formation energy from the elements = 0.5118 eV per atom
data_KMn2
_space_group_name_H-M_alt 'P 1'
_space_group_IT_number 1
_space_group_name_Hall 'P 1'
_cell_length_a 12.375
_cell_length_b 12.375
_cell_length_c 4.025
_cell_angle_alpha 90.00
_cell_angle_beta 90.00
_cell_angle_gamma 165.98
loop_
_atom_site_label
_atom_site_type_symbol
_atom_site_fract_x
_atom_site_fract_y
_atom_site_fract_z
K1 K 0.166 0.834 0.750
K2 K 0.834 0.166 0.250
Mn1 Mn 0.047 0.953 0.250
Mn2 Mn 0.465 0.535 0.250
Mn3 Mn 0.535 0.465 0.750
Mn4 Mn 0.953 0.047 0.750

No. 8
# PBE K3Mn, optimized geometry
# Fermi-level density of states = 4.89 states/eV/f.u.
# Calculated volume = 401 Å³/cell
# Formation energy from the elements = 0.6515 eV per atom
data_K3Mn
_space_group_name_H-M_alt 'P 1'
_space_group_IT_number 1
_space_group_name_Hall 'P 1'
_cell_length_a 7.377
_cell_length_b 7.377
_cell_length_c 7.377
_cell_angle_alpha 90.00
_cell_angle_beta 90.00
_cell_angle_gamma 90.00
loop_
_atom_site_label
_atom_site_type_symbol
_atom_site_fract_x
_atom_site_fract_y
_atom_site_fract_z
K1 K 0.000 0.250 0.500
K2 K 0.000 0.750 0.500
K3 K 0.250 0.500 0.000
K4 K 0.500 0.000 0.250
K5 K 0.500 0.000 0.750
K6 K 0.750 0.500 0.000
Mn1 Mn 0.000 0.000 0.000
Mn2 Mn 0.500 0.500 0.500

No. 9
# PBE KMn2, optimized geometry
# Fermi-level density of states = 3.97 states/eV/f.u.
# Calculated volume = 186 Å³/cell
# Formation energy from the elements = 1.3061 eV per atom
data_KMn2
_space_group_name_H-M_alt 'P 1'
_space_group_IT_number 1
_space_group_name_Hall 'P 1'
_cell_length_a 8.841
_cell_length_b 8.841
_cell_length_c 8.841
_cell_angle_alpha 148.69
_cell_angle_beta 148.69
_cell_angle_gamma 44.86
loop_
_atom_site_label
_atom_site_type_symbol
_atom_site_fract_x
_atom_site_fract_y
_atom_site_fract_z
K1 K 0.375 0.625 0.750
K2 K 0.625 0.375 0.250
Mn1 Mn 0.042 0.792 0.250
Mn2 Mn 0.208 0.958 0.250
Mn3 Mn 0.792 0.042 0.750
Mn4 Mn 0.958 0.208 0.750

No. 10
# PBE K3Mn, optimized geometry
# Fermi-level density of states = 4.85 states/eV/f.u.
# Calculated volume = 213 Å³/cell
# Formation energy from the elements = 0.6618 eV per atom
data_K3Mn
_space_group_name_H-M_alt 'P 1'
_space_group_IT_number 1
_space_group_name_Hall 'P 1'
_cell_length_a 13.902
_cell_length_b 13.902
_cell_length_c 13.902
_cell_angle_alpha 17.55
_cell_angle_beta 17.55
_cell_angle_gamma 17.55
loop_
_atom_site_label
_atom_site_type_symbol
_atom_site_fract_x
_atom_site_fract_y
_atom_site_fract_z
K1 K 0.000 0.000 0.000
K2 K 0.234 0.234 0.234
K3 K 0.766 0.766 0.766
Mn1 Mn 0.500 0.500 0.500

No. 11
# PBE KMn2, optimized geometry
# Fermi-level density of states = 2.74 states/eV/f.u.
# Calculated volume = 158 Å³/cell
# Formation energy from the elements = 0.5654 eV per atom
data_KMn2
_space_group_name_H-M_alt 'P 1'
_space_group_IT_number 1
_space_group_name_Hall 'P 1'
_cell_length_a 4.436
_cell_length_b 4.436
_cell_length_c 12.328
_cell_angle_alpha 101.87
_cell_angle_beta 101.87
_cell_angle_gamma 41.75
loop_
_atom_site_label
_atom_site_type_symbol
_atom_site_fract_x
_atom_site_fract_y
_atom_site_fract_z
K1 K 0.188 0.188 0.174
K2 K 0.812 0.812 0.826
Mn1 Mn 0.164 0.164 0.555
Mn2 Mn 0.464 0.464 0.603
Mn3 Mn 0.536 0.536 0.397
Mn4 Mn 0.836 0.836 0.445

No. 12
# PBE K3Mn, optimized geometry
# Fermi-level density of states = 5.53 states/eV/f.u.
# Calculated volume = 198 Å³/cell
# Formation energy from the elements = 0.6405 eV per atom
data_K3Mn
_space_group_name_H-M_alt 'P 1'
_space_group_IT_number 1
_space_group_name_Hall 'P 1'
_cell_length_a 6.539
_cell_length_b 6.539
_cell_length_c 6.539
_cell_angle_alpha 60.00
_cell_angle_beta 60.00
_cell_angle_gamma 60.00
loop_
_atom_site_label
_atom_site_type_symbol
_atom_site_fract_x
_atom_site_fract_y
_atom_site_fract_z
K1 K 0.000 0.000 0.000
K2 K 0.250 0.250 0.250
K3 K 0.750 0.750 0.750
Mn1 Mn 0.500 0.500 0.500

No. 13
# PBE KMn2, optimized geometry
# Fermi-level density of states = 4.97 states/eV/f.u.
# Calculated volume = 77 Å³/cell
# Formation energy from the elements = 0.9801 eV per atom
data_KMn2
_space_group_name_H-M_alt 'P 1'
_space_group_IT_number 1
_space_group_name_Hall 'P 1'
_cell_length_a 6.690
_cell_length_b 6.690
_cell_length_c 6.690
_cell_angle_alpha 154.76
_cell_angle_beta 142.60
_cell_angle_gamma 45.66
loop_
_atom_site_label
_atom_site_type_symbol
_atom_site_fract_x
_atom_site_fract_y
_atom_site_fract_z
K1 K 0.000 0.000 0.000
Mn1 Mn 0.275 0.275 0.000
Mn2 Mn 0.725 0.725 0.000

No. 14
# PBE KMn2, optimized geometry
# Fermi-level density of states = 2.55 states/eV/f.u.
# Calculated volume = 148 Å³/cell
# Formation energy from the elements = 0.8770 eV per atom
data_KMn2
_space_group_name_H-M_alt 'P 1'
_space_group_IT_number 1
_space_group_name_Hall 'P 1'
_cell_length_a 8.514
_cell_length_b 8.514
_cell_length_c 8.514
_cell_angle_alpha 159.91
_cell_angle_beta 135.46
_cell_angle_gamma 49.31
loop_
_atom_site_label
_atom_site_type_symbol
_atom_site_fract_x
_atom_site_fract_y
_atom_site_fract_z
K1 K 0.187 0.187 0.000
K2 K 0.813 0.813 0.000
Mn1 Mn 0.223 0.500 0.723
Mn2 Mn 0.414 0.914 0.500
Mn3 Mn 0.586 0.086 0.500
Mn4 Mn 0.777 0.500 0.277

No. 15
# PBE K4Mn5, optimized geometry
# Fermi-level density of states = 11.78 states/eV/f.u.
# Calculated volume = 536 Å³/cell
# Formation energy from the elements = 1.2618 eV per atom
data_K4Mn5
_space_group_name_H-M_alt 'P 1'
_space_group_IT_number 1
_space_group_name_Hall 'P 1'
_cell_length_a 9.884
_cell_length_b 9.884
_cell_length_c 6.339
_cell_angle_alpha 90.00
_cell_angle_beta 90.00
_cell_angle_gamma 120.00
loop_
_atom_site_label
_atom_site_type_symbol
_atom_site_fract_x
_atom_site_fract_y
_atom_site_fract_z
K1 K 0.000 0.000 0.000
K2 K 0.000 0.000 0.500
K3 K 0.000 0.307 0.250
K4 K 0.000 0.693 0.750
K5 K 0.307 0.000 0.250
K6 K 0.307 0.307 0.750
K7 K 0.693 0.000 0.750
K8 K 0.693 0.693 0.250
Mn1 Mn 0.000 0.400 0.750
Mn2 Mn 0.000 0.600 0.250
Mn3 Mn 0.333 0.667 0.000
Mn4 Mn 0.333 0.667 0.500
Mn5 Mn 0.400 0.000 0.750
Mn6 Mn 0.400 0.400 0.250
Mn7 Mn 0.600 0.000 0.250
Mn8 Mn 0.600 0.600 0.750
Mn9 Mn 0.667 0.333 0.000
Mn10 Mn 0.667 0.333 0.500

No. 16
# PBE KMn2, optimized geometry
# Fermi-level density of states = 4.27 states/eV/f.u.
# Calculated volume = 157 Å³/cell
# Formation energy from the elements = 1.4255 eV per atom
data_KMn2
_space_group_name_H-M_alt 'P 1'
_space_group_IT_number 1
_space_group_name_Hall 'P 1'
_cell_length_a 5.417
_cell_length_b 5.417
_cell_length_c 6.169
_cell_angle_alpha 90.00
_cell_angle_beta 90.00
_cell_angle_gamma 120.00
loop_
_atom_site_label
_atom_site_type_symbol
_atom_site_fract_x
_atom_site_fract_y
_atom_site_fract_z
K1 K 0.333 0.667 0.250
K2 K 0.667 0.333 0.750
Mn1 Mn 0.000 0.000 0.000
Mn2 Mn 0.000 0.000 0.500
Mn3 Mn 0.333 0.667 0.750
Mn4 Mn 0.667 0.333 0.250

No. 17
# PBE KMn2, optimized geometry
# Fermi-level density of states = 2.43 states/eV/f.u.
# Calculated volume = 72 Å³/cell
# Formation energy from the elements = 1.2173 eV per atom
data_KMn2
_space_group_name_H-M_alt 'P 1'
_space_group_IT_number 1
_space_group_name_Hall 'P 1'
_cell_length_a 5.383
_cell_length_b 5.383
_cell_length_c 2.870
_cell_angle_alpha 90.00
_cell_angle_beta 90.00
_cell_angle_gamma 120.00
loop_
_atom_site_label
_atom_site_type_symbol
_atom_site_fract_x
_atom_site_fract_y
_atom_site_fract_z
K1 K 0.000 0.000 0.000
Mn1 Mn 0.333 0.667 0.384
Mn2 Mn 0.667 0.333 0.616

No. 18
# PBE KMn2, optimized geometry
# Fermi-level density of states = 3.77 states/eV/f.u.
# Calculated volume = 146 Å³/cell
# Formation energy from the elements = 1.0369 eV per atom
data_KMn2
_space_group_name_H-M_alt 'P 1'
_space_group_IT_number 1
_space_group_name_Hall 'P 1'
_cell_length_a 5.905
_cell_length_b 5.905
_cell_length_c 5.905
_cell_angle_alpha 60.00
_cell_angle_beta 60.00
_cell_angle_gamma 60.00
loop_
_atom_site_label
_atom_site_type_symbol
_atom_site_fract_x
_atom_site_fract_y
_atom_site_fract_z
K1 K 0.125 0.125 0.125
K2 K 0.875 0.875 0.875
Mn1 Mn 0.000 0.500 0.500
Mn2 Mn 0.500 0.000 0.500
Mn3 Mn 0.500 0.500 0.000
Mn4 Mn 0.500 0.500 0.500

No. 19
# PBE KMn2Mo, optimized geometry
# Fermi-level density of states = 5.08 states/eV/f.u.
# Calculated volume = 72 Å³/cell
# Energy above the lowest structure with this stoichiometry = 0.1872 eV/atom
# Formation energy from the elements = 0.8152 eV per atom
data_KMn2Mo
_space_group_name_H-M_alt 'P 1'
_space_group_IT_number 1
_space_group_name_Hall 'P 1'
_cell_length_a 2.724
_cell_length_b 2.724
_cell_length_c 9.731
_cell_angle_alpha 90.00
_cell_angle_beta 90.00
_cell_angle_gamma 90.00
loop_
_atom_site_label
_atom_site_type_symbol
_atom_site_fract_x
_atom_site_fract_y
_atom_site_fract_z
K1 K 0.000 0.000 0.000
Mn1 Mn 0.000 0.000 0.475
Mn2 Mn 0.500 0.500 0.317
Mo1 Mo 0.500 0.500 0.673

No. 20
# PBE KMn4Mo, optimized geometry
# Fermi-level density of states = 8.61 states/eV/f.u.
# Calculated volume = 87 Å³/cell
# Formation energy from the elements = 1.0268 eV per atom
data_KMn4Mo
_space_group_name_H-M_alt 'P 1'
_space_group_IT_number 1
_space_group_name_Hall 'P 1'
_cell_length_a 4.981
_cell_length_b 4.981
_cell_length_c 4.981
_cell_angle_alpha 60.00
_cell_angle_beta 60.00
_cell_angle_gamma 60.00
loop_
_atom_site_label
_atom_site_type_symbol
_atom_site_fract_x
_atom_site_fract_y
_atom_site_fract_z
K1 K 0.000 0.000 0.000
Mn1 Mn 0.124 0.625 0.625
Mn2 Mn 0.625 0.124 0.625
Mn3 Mn 0.625 0.625 0.124
Mn4 Mn 0.625 0.625 0.625
Mo1 Mo 0.250 0.250 0.250